# 1
A relaxed Co2TcAu crystal. Source: Alexandria, functional GGA-PBEsol.

Its calculated formation energy is 0.2464 eV/atom. As for the crystal system: orthorhombic.

The space group is Pmm2 (No. 25) and the conventional cell measures 2.6354, 3.6743 and 5.3182 Å, with angles of 90.00, 90.00 and 90.00 degrees. The distinct sites, in fractional coordinates, are Co at (0.0000, 0.0000, 0.0000), Co at (0.5000, 0.5000, 0.2265), Tc at (0.0000, 0.0000, 0.4364) and Au at (0.5000, 0.5000, 0.7372).

# 2
A relaxed Co2TcAu crystal. Source: Alexandria, functional GGA-PBEsol.

Its calculated formation energy is 0.3518 eV/atom. As for the crystal system: orthorhombic.

The space group is Imm2 (No. 44) and the conventional cell measures 2.6760, 4.3194 and 8.9125 Å, with angles of 90.00, 90.00 and 90.00 degrees. The distinct sites, in fractional coordinates, are Co at (0.0000, 0.0000, 0.0000), Co at (0.0000, 0.5000, 0.2862), Tc at (0.0000, 0.5000, 0.7347) and Au at (0.0000, 0.0000, 0.5217).

# 3
A relaxed Co2TcAu crystal. Source: Alexandria, functional GGA-PBEsol.

Its calculated formation energy is 0.4514 eV/atom. As for the crystal system: monoclinic.

The space group is C2/m (No. 12) and the conventional cell measures 5.3603, 8.6242 and 2.5591 Å, with angles of 90.00, 115.86 and 90.00 degrees. The distinct sites, in fractional coordinates, are Co at (0.2500, 0.2500, 0.0000), Tc at (0.0000, 0.0000, 0.5000) and Au at (0.0000, 0.5000, 0.5000).

Number 1: V 51 Å³ per cell, offset from the most stable computed form 0.0 meV per atom, E_tot -7.4197 eV per atom. Number 2: V 103 Å³ per cell, offset from the most stable computed form 105.4 meV per atom, E_tot -7.3143 eV per atom. Number 3: V 106 Å³ per cell, offset from the most stable computed form 205.0 meV per atom, E_tot -7.2147 eV per atom.